Entry 1:
Entry from Alexandria via LeMat-Bulk: crystalline HoAlNi4 at its relaxed geometry (PBEsol).

Geometry as POSCAR:
```
HoAlNi4
1.0
4.963 0.000 0.000
-2.481 4.298 0.000
0.000 0.000 3.813
Ho Al Ni
1 1 4
Cartesian
0.000 0.000 0.000
2.481 1.433 0.000
-1.224 2.159 1.907
0.000 2.865 0.000
1.224 2.159 1.907
0.000 4.278 1.907
```

## Properties
uncorrected energy = -36.49 eV/cell
formation enthalpy at 0 K = -2.82 eV/f.u.
symmetry = No. 187
density of states at the Fermi level = 4.61 states/eV/cell
calculated volume = 81 Å³/f.u.


Entry 2:
Entry from Alexandria via LeMat-Bulk: crystalline HoAlNi4 at its relaxed geometry (PBEsol).

Geometry as POSCAR:
```
HoAlNi4
1.0
2.456 -4.145 0.000
2.456 4.145 0.000
0.000 0.000 3.967
Ho Al Ni
1 1 4
Cartesian
0.000 0.000 0.000
2.456 0.000 1.984
1.228 2.073 1.984
2.456 1.406 0.000
1.228 -2.073 1.984
2.456 -1.406 0.000
```

## Properties
uncorrected energy = -36.89 eV/cell
formation enthalpy at 0 K = -3.22 eV/f.u.
symmetry = No. 65
density of states at the Fermi level = 3.04 states/eV/cell
calculated volume = 81 Å³/f.u.


Entry 3:
Entry from Alexandria via LeMat-Bulk: crystalline HoAl3Ni2 at its relaxed geometry (PBEsol).

Geometry as POSCAR:
```
HoAl3Ni2
1.0
5.193 0.000 0.000
-2.596 4.497 0.000
0.000 0.000 3.943
Ho Al Ni
1 3 2
Cartesian
0.000 0.000 0.000
-1.298 2.248 1.971
2.596 0.000 1.971
1.298 2.248 1.971
0.000 2.998 0.000
2.596 1.499 0.000
```

## Properties
uncorrected energy = -33.34 eV/cell
formation enthalpy at 0 K = -3.80 eV/f.u.
symmetry = No. 191
density of states at the Fermi level = 3.35 states/eV/cell
calculated volume = 92 Å³/f.u.